# 1
Material: W2BrCl
Method: DFT, PBE-GGA
State: relaxed

Lattice parameters (Å, degrees): 4.2897 4.2897 7.6277 90.00 90.00 90.00
Last column: nearest neighbours and their distance in Å.
Space group I-4m2 (No. 119)
Asymmetric unit:
W (0.0000, 0.0000, 0.0000) (multiplicity 2)  4 W 2.87, 4 Br 2.87, 4 Cl 3.03
W (0.0000, 0.5000, 0.2500) (multiplicity 2)  4 Cl 2.87, 4 W 2.87, 4 Br 3.03
Br (0.0000, 0.5000, 0.7500) (multiplicity 2)  4 Cl 2.87, 8 W 2.87-3.03
Cl (0.0000, 0.0000, 0.5000) (multiplicity 2)  8 W 2.87-3.03, 4 Br 2.87

Output
The polymorph energy (0 for the lowest one) is 1.417 eV per atom. The value obtained for the formation energy (no corrections) is 1347 meV per atom.

=====

# 2
Material: Pm4PrHg5
Method: DFT, PBE-GGA
State: relaxed

Lattice parameters (Å, degrees): 3.8314 3.8314 19.0419 90.00 90.00 90.00
Last column: nearest neighbours and their distance in Å.
Space group P4/mmm (No. 123)
Asymmetric unit:
Pm (0.0000, 0.0000, 0.0993) (multiplicity 2)  8 Hg 3.30-3.31
Pm (0.0000, 0.0000, 0.2981) (multiplicity 2)  8 Hg 3.29-3.30
Pr (0.0000, 0.0000, 0.5000) (multiplicity 1)  8 Hg 3.35
Hg (0.5000, 0.5000, 0.0000) (multiplicity 1)  8 Pm 3.30
Hg (0.5000, 0.5000, 0.1989) (multiplicity 2)  8 Pm 3.30-3.31
Hg (0.5000, 0.5000, 0.3961) (multiplicity 2)  4 Pm 3.29, 4 Pr 3.35

Output
The calculation puts the total DFT energy (no corrections) at -3.0032 eV/atom.